Here is LiCdPO2 after structural relaxation from Alexandria via LeMat-Bulk. Energies are from PBE.

Values from the calculation:
Its density of states at the Fermi level is 3.5 states/eV/f.u. The energy above the lowest structure with this stoichiometry is 0.000 eV per atom. The value obtained for the volume is 13.53 Å³/atom. The value obtained for the total energy is -3.446 eV/atom. As for the energy relative to the elements, uncorrected: 0.185 eV per atom.

a b c (Å): 3.8103 3.8103 4.6581
angles (deg): 90.00 90.00 90.00
Closest atoms and distances in Å follow each position.
Space group P4/mmm (No. 123)
Unique sites:
1 Li 0.0000 0.0000 0.0000 (multiplicity 1)  4 O 1.91
2 Cd 0.5000 0.5000 0.5000 (multiplicity 1)  4 P 2.69, 8 O 3.01
3 P 0.0000 0.0000 0.5000 (multiplicity 1)  2 Li 2.33
4 O 0.0000 0.5000 0.0000 (multiplicity 2)  2 Li 1.91

---

Here is LiCdPO2 after structural relaxation from Alexandria via LeMat-Bulk. Energies are from PBE.

Values from the calculation:
Its density of states at the Fermi level is 4.7 states/eV/f.u. The energy above the lowest structure with this stoichiometry is 0.134 eV per atom. The value obtained for the volume is 18.69 Å³/atom. The value obtained for the total energy is -3.313 eV/atom. As for the energy relative to the elements, uncorrected: 0.319 eV per atom.

a b c (Å): 4.2653 4.2653 5.1357
angles (deg): 90.00 90.00 90.00
Closest atoms and distances in Å follow each position.
Space group P4/mmm (No. 123)
Unique sites:
1 Li 0.0000 0.0000 0.0000 (multiplicity 1)  4 P 3.02, 8 O 3.34
2 Cd 0.5000 0.5000 0.5000 (multiplicity 1)  4 O 2.13
3 P 0.5000 0.5000 0.0000 (multiplicity 1)  2 Cd 2.57
4 O 0.0000 0.5000 0.5000 (multiplicity 2)  2 Cd 2.13

---

Here is LiCdP2O after structural relaxation from Alexandria via LeMat-Bulk. Energies are from PBE.

Values from the calculation:
Its density of states at the Fermi level is 3.7 states/eV/f.u. The energy above the lowest structure with this stoichiometry is 0.271 eV per atom. The value obtained for the volume is 21.74 Å³/atom. The value obtained for the total energy is -3.071 eV/atom. As for the energy relative to the elements, uncorrected: 0.650 eV per atom.

a b c (Å): 5.0810 5.0810 4.2113
angles (deg): 90.00 90.00 90.00
Closest atoms and distances in Å follow each position.
Space group P4/mmm (No. 123)
Unique sites:
1 Li 0.0000 0.0000 0.0000 (multiplicity 1)  8 P 3.30, 4 O 3.59
2 Cd 0.5000 0.5000 0.5000 (multiplicity 1)  2 O 2.11
3 P 0.0000 0.5000 0.5000 (multiplicity 2)  2 Cd 2.54
4 O 0.5000 0.5000 0.0000 (multiplicity 1)  2 Cd 2.11

---

Here is LiCdP2O after structural relaxation from Alexandria via LeMat-Bulk. Energies are from PBE.

Values from the calculation:
Its density of states at the Fermi level is 2.1 states/eV/f.u. The energy above the lowest structure with this stoichiometry is 0.000 eV per atom. The value obtained for the volume is 15.71 Å³/atom. The value obtained for the total energy is -3.342 eV/atom. As for the energy relative to the elements, uncorrected: 0.380 eV per atom.

a b c (Å): 4.8675 4.8675 3.3146
angles (deg): 90.00 90.00 90.00
Closest atoms and distances in Å follow each position.
Space group P4/mmm (No. 123)
Unique sites:
1 Li 0.0000 0.0000 0.0000 (multiplicity 1)  2 O 1.66
2 Cd 0.5000 0.5000 0.5000 (multiplicity 1)  8 P 2.94
3 P 0.0000 0.5000 0.0000 (multiplicity 2)  2 Li 2.43
4 O 0.0000 0.0000 0.5000 (multiplicity 1)  2 Li 1.66

---

Here is LiCdPbO4 after structural relaxation from Alexandria via LeMat-Bulk. Energies are from PBE.

Values from the calculation:
Its density of states at the Fermi level is 2.7 states/eV/f.u. The value obtained for the volume is 14.41 Å³/atom. The value obtained for the total energy is -4.746 eV/atom. As for the energy relative to the elements, uncorrected: -0.979 eV per atom.

a b c (Å): 6.4950 6.6206 9.3813
angles (deg): 90.00 90.00 90.00
Closest atoms and distances in Å follow each position.
Space group Imma (No. 74)
Unique sites:
1 Li 0.0000 0.2500 0.1308 (multiplicity 4)  4 O 2.14-2.15
2 Cd 0.2500 0.2500 0.7500 (multiplicity 4)  6 O 2.27-2.33
3 Pb 0.0000 0.0000 0.5000 (multiplicity 4)  6 O 2.20-2.23
4 O 0.0000 0.0109 0.7349 (multiplicity 8)  1 Li 2.14, 1 Pb 2.20, 2 Cd 2.27
5 O 0.2312 0.2500 0.5023 (multiplicity 8)  1 Li 2.15, 2 Pb 2.23, 1 Cd 2.33

---

Here is Li3Cd2PbO6 after structural relaxation from Alexandria via LeMat-Bulk. Energies are from PBE.

Values from the calculation:
Its density of states at the Fermi level is 8.0 states/eV/f.u. The value obtained for the volume is 11.89 Å³/atom. The value obtained for the total energy is -4.645 eV/atom. As for the energy relative to the elements, uncorrected: -1.226 eV per atom.

a b c (Å): 5.6953 9.8433 5.4431
angles (deg): 90.00 110.76 90.00
Closest atoms and distances in Å follow each position.
Space group C2/m (No. 12)
Unique sites:
1 Li 0.0000 0.0000 0.0000 (multiplicity 2)  6 O 2.23-2.37
2 Li 0.0000 0.3319 0.0000 (multiplicity 4)  6 O 2.24-2.33
3 Cd 0.0000 0.1672 0.5000 (multiplicity 4)  6 O 2.32-2.35
4 Pb 0.0000 0.5000 0.5000 (multiplicity 2)  6 O 2.22
5 O 0.2342 0.5000 0.2501 (multiplicity 4)  1 Pb 2.22, 3 Li 2.25-2.37, 2 Cd 2.32
6 O 0.2436 0.3410 0.7551 (multiplicity 8)  1 Pb 2.22, 3 Li 2.23-2.33, 2 Cd 2.33-2.35

---

Here is Li4CdPd3O8 after structural relaxation from Alexandria via LeMat-Bulk. Energies are from PBE.

Values from the calculation:
Its density of states at the Fermi level is 0.3 states/eV/f.u. The value obtained for the volume is 10.65 Å³/atom. The value obtained for the total energy is -5.016 eV/atom. As for the energy relative to the elements, uncorrected: -1.027 eV per atom.

a b c (Å): 10.2020 6.4309 6.2091
angles (deg): 90.00 123.18 90.00
Closest atoms and distances in Å follow each position.
Space group C2/m (No. 12)
Unique sites:
1 Li 0.0000 0.0000 0.0000 (multiplicity 2)  6 O 2.24-2.41
2 Li 0.0000 0.5000 0.0000 (multiplicity 2)  6 O 2.05-2.16
3 Li 0.2500 0.2500 0.5000 (multiplicity 4)  4 O 2.09-2.22
4 Cd 0.0000 0.0000 0.5000 (multiplicity 2)  6 O 2.26-2.33
5 Pd 0.0000 0.5000 0.5000 (multiplicity 2)  6 O 2.06-2.07
6 Pd 0.2500 0.2500 0.0000 (multiplicity 4)  4 O 2.06-2.08
7 O 0.0092 0.2774 0.7482 (multiplicity 8)  2 Pd 2.07-2.08, 2 Li 2.16-2.22
8 O 0.2396 0.5000 0.1969 (multiplicity 4)  1 Li 2.05, 2 Pd 2.06, 1 Cd 2.26
9 O 0.2412 0.5000 0.7064 (multiplicity 4)  1 Pd 2.06, 3 Li 2.09-2.24

---

Here is LiCdPd2O4 after structural relaxation from Alexandria via LeMat-Bulk. Energies are from PBE.

Values from the calculation:
Its density of states at the Fermi level is 3.9 states/eV/f.u. The value obtained for the volume is 11.28 Å³/atom. The value obtained for the total energy is -4.792 eV/atom. As for the energy relative to the elements, uncorrected: -0.661 eV per atom.

a b c (Å): 4.5141 4.5141 8.8568
angles (deg): 90.00 90.00 90.00
Closest atoms and distances in Å follow each position.
Space group I4/mmm (No. 139)
Unique sites:
1 Li 0.0000 0.0000 0.0000 (multiplicity 2)  6 O 2.09-2.26
2 Cd 0.0000 0.0000 0.5000 (multiplicity 2)  6 O 2.26-2.34
3 Pd 0.0000 0.5000 0.2500 (multiplicity 4)  6 O 2.21-2.26
4 O 0.0000 0.0000 0.2354 (multiplicity 4)  1 Li 2.09, 4 Pd 2.26
5 O 0.0000 0.5000 0.0000 (multiplicity 4)  2 Pd 2.21, 2 Cd 2.26, 2 Li 2.26

---

Here is LiCd2PdO4 after structural relaxation from Alexandria via LeMat-Bulk. Energies are from PBE.

Values from the calculation:
Its density of states at the Fermi level is 1.6 states/eV/f.u. The value obtained for the volume is 11.86 Å³/atom. The value obtained for the total energy is -4.491 eV/atom. As for the energy relative to the elements, uncorrected: -0.895 eV per atom.

a b c (Å): 5.4793 3.2755 5.5731
angles (deg): 90.00 108.38 90.00
Closest atoms and distances in Å follow each position.
Space group P2/m (No. 10)
Unique sites:
1 Li 0.0000 0.0000 0.0000 (multiplicity 1)  6 O 2.13-2.27
2 Cd 0.0000 0.5000 0.5000 (multiplicity 1)  6 O 2.35-2.44
3 Cd 0.5000 0.0000 0.5000 (multiplicity 1)  6 O 2.33-2.37
4 Pd 0.5000 0.5000 0.0000 (multiplicity 1)  6 O 2.14-2.18
5 O 0.2551 0.5000 0.2320 (multiplicity 2)  1 Pd 2.14, 2 Li 2.27, 3 Cd 2.33-2.35
6 O 0.2649 0.0000 0.7908 (multiplicity 2)  1 Li 2.13, 2 Pd 2.18, 1 Cd 2.37

---

Here is LiPm2CdO5 after structural relaxation from Alexandria via LeMat-Bulk. Energies are from PBE.

Values from the calculation:
Its density of states at the Fermi level is 6.8 states/eV/f.u. The value obtained for the volume is 13.64 Å³/atom. The value obtained for the total energy is -6.228 eV/atom. As for the energy relative to the elements, uncorrected: -2.103 eV per atom.

a b c (Å): 6.6236 6.6236 5.5983
angles (deg): 90.00 90.00 90.00
Closest atoms and distances in Å follow each position.
Space group P4/mbm (No. 127)
Unique sites:
1 Li 0.0000 0.5000 0.0000 (multiplicity 2)  4 O 1.92
2 Pm 0.1672 0.3328 0.5000 (multiplicity 4)  8 O 2.27-2.54
3 Cd 0.0000 0.0000 0.0000 (multiplicity 2)  10 O 2.80-2.87
4 O 0.0000 0.0000 0.5000 (multiplicity 2)  4 Pm 2.47
5 O 0.1462 0.6462 0.2405 (multiplicity 8)  1 Li 1.92